The following is a DFT calculation (PBE) of an optimized crystal structure of LiMg2Hg.

VASP energy   -1.434 eV per atom
SG   P6_3/mmc (194)

```
LiMg2Hg
1.0
4.770 0.000 0.000
-2.385 4.131 0.000
0.000 0.000 9.261
Li Mg Hg
2 4 2
Direct
0.333 0.667 0.250
0.667 0.333 0.750
0.333 0.667 0.587
0.333 0.667 0.913
0.667 0.333 0.087
0.667 0.333 0.413
0.000 0.000 0.000
0.000 0.000 0.500
```

The following is a DFT calculation (PBE) of an optimized crystal structure of ThHgTe.

VASP energy   -4.001 eV per atom
SG   F-43m (216)

```
ThHgTe
1.0
0.000 3.692 3.692
3.692 0.000 3.692
3.692 3.692 0.000
Th Hg Te
1 1 1
Direct
0.000 0.000 0.000
0.750 0.750 0.750
0.250 0.250 0.250
```

The following is a DFT calculation (PBE) of an optimized crystal structure of Gd2TmIrO6.

VASP energy   -7.976 eV per atom
SG   P2_1/c (14)

```
Gd2TmIrO6
1.0
5.481 0.000 0.000
0.000 5.883 0.000
-5.054 0.000 7.823
Gd Tm Ir O
4 2 2 12
Direct
0.220 0.073 0.249
0.220 0.427 0.749
0.780 0.573 0.251
0.780 0.927 0.751
0.500 0.000 0.000
0.500 0.500 0.500
0.000 0.000 0.500
0.000 0.500 0.000
0.114 0.194 0.937
0.114 0.306 0.437
0.247 0.693 0.937
0.247 0.807 0.437
0.380 0.062 0.737
0.380 0.438 0.237
0.620 0.562 0.763
0.620 0.938 0.263
0.753 0.193 0.563
0.753 0.307 0.063
0.886 0.694 0.563
0.886 0.806 0.063
```

The following is a DFT calculation (PBE) of an optimized crystal structure of ZnCoTcB.

VASP energy   -5.984 eV per atom
SG   F-43m (216)

```
ZnCoTcB
1.0
0.000 2.807 2.807
2.807 0.000 2.807
2.807 2.807 0.000
Zn Co Tc B
1 1 1 1
Direct
0.000 0.000 0.000
0.750 0.750 0.750
0.250 0.250 0.250
0.500 0.500 0.500
```

The following is a DFT calculation (PBE) of an optimized crystal structure of HoSnHg.

VASP energy   -3.188 eV per atom
SG   F-43m (216)

```
HoSnHg
1.0
0.000 3.546 3.546
3.546 0.000 3.546
3.546 3.546 0.000
Ho Sn Hg
1 1 1
Direct
0.000 0.000 0.000
0.250 0.250 0.250
0.750 0.750 0.750
```

The following is a DFT calculation (PBE) of an optimized crystal structure of LiZnPd2.

VASP energy   -3.737 eV per atom
SG   P6_3/mmc (194)

```
LiZnPd2
1.0
4.252 0.000 0.000
-2.126 3.682 0.000
0.000 0.000 7.778
Li Zn Pd
2 2 4
Direct
0.000 0.000 0.250
0.000 0.000 0.750
0.333 0.667 0.250
0.667 0.333 0.750
0.333 0.667 0.581
0.333 0.667 0.919
0.667 0.333 0.081
0.667 0.333 0.419
```

The following is a DFT calculation (PBE) of an optimized crystal structure of ScGaCuW.

VASP energy   -6.180 eV per atom
SG   F-43m (216)

```
ScGaCuW
1.0
0.000 3.186 3.186
3.186 0.000 3.186
3.186 3.186 0.000
Sc Ga Cu W
1 1 1 1
Direct
0.000 0.000 0.000
0.500 0.500 0.500
0.750 0.750 0.750
0.250 0.250 0.250
```

The following is a DFT calculation (PBE) of an optimized crystal structure of HfTh2.

VASP energy   -5.712 eV per atom
SG   Fd-3m (227)

```
HfTh2
1.0
0.000 6.119 6.119
6.119 0.000 6.119
6.119 6.119 0.000
Hf Th
2 4
Direct
0.125 0.125 0.125
0.875 0.875 0.875
0.000 0.000 0.000
0.000 0.000 0.500
0.000 0.500 0.000
0.500 0.000 0.000
```

The following is a DFT calculation (PBE) of an optimized crystal structure of CdOsPd2.

VASP energy   -5.191 eV per atom
SG   F-43m (216)

```
CdOsPd2
1.0
0.000 3.193 3.193
3.193 0.000 3.193
3.193 3.193 0.000
Cd Os Pd
1 1 2
Direct
0.000 0.000 0.000
0.750 0.750 0.750
0.250 0.250 0.250
0.500 0.500 0.500
```

The following is a DFT calculation (PBE) of an optimized crystal structure of ZrFeReB.

VASP energy   -8.352 eV per atom
SG   F-43m (216)

```
ZrFeReB
1.0
0.000 3.052 3.052
3.052 0.000 3.052
3.052 3.052 0.000
Zr Fe Re B
1 1 1 1
Direct
0.000 0.000 0.000
0.500 0.500 0.500
0.750 0.750 0.750
0.250 0.250 0.250
```

The following is a DFT calculation (PBE) of an optimized crystal structure of YInCoTe3.

VASP energy   -4.855 eV per atom
SG   Cmcm (63)

```
YInCoTe3
1.0
2.058 -7.692 0.000
2.058 7.692 0.000
0.000 0.000 11.125
Y In Co Te
2 2 2 6
Direct
0.000 0.000 0.000
0.000 0.000 0.500
0.247 0.753 0.750
0.753 0.247 0.250
0.475 0.525 0.250
0.525 0.475 0.750
0.079 0.921 0.250
0.364 0.636 0.076
0.364 0.636 0.424
0.636 0.364 0.576
0.636 0.364 0.924
0.921 0.079 0.750
```

The following is a DFT calculation (PBE) of an optimized crystal structure of ZnSnB2.

VASP energy   -3.047 eV per atom
SG   F-43m (216)

```
ZnSnB2
1.0
0.000 3.080 3.080
3.080 0.000 3.080
3.080 3.080 0.000
Zn Sn B
1 1 2
Direct
0.000 0.000 0.000
0.750 0.750 0.750
0.250 0.250 0.250
0.500 0.500 0.500
```

The following is a DFT calculation (PBE) of an optimized crystal structure of BaUNb.

VASP energy   -6.184 eV per atom
SG   F-43m (216)

```
BaUNb
1.0
0.000 3.551 3.551
3.551 0.000 3.551
3.551 3.551 0.000
Ba U Nb
1 1 1
Direct
0.000 0.000 0.000
0.500 0.500 0.500
0.250 0.250 0.250
```

The following is a DFT calculation (PBE) of an optimized crystal structure of HfUGa.

VASP energy   -7.046 eV per atom
SG   F-43m (216)

```
HfUGa
1.0
0.000 3.387 3.387
3.387 0.000 3.387
3.387 3.387 0.000
Hf U Ga
1 1 1
Direct
0.000 0.000 0.000
0.750 0.750 0.750
0.500 0.500 0.500
```

The following is a DFT calculation (PBE) of an optimized crystal structure of K2NbCoH6.

VASP energy   -3.915 eV per atom
SG   R-3m (166)

```
K2NbCoH6
1.0
2.776 1.603 9.151
-2.776 1.603 9.151
0.000 -3.206 9.151
K Nb Co H
4 2 2 12
Direct
0.122 0.122 0.122
0.287 0.287 0.287
0.713 0.713 0.713
0.878 0.878 0.878
0.000 0.000 0.000
0.500 0.500 0.500
0.407 0.407 0.407
0.593 0.593 0.593
0.175 0.579 0.579
0.227 0.227 0.666
0.227 0.666 0.227
0.334 0.773 0.773
0.421 0.421 0.825
0.421 0.825 0.421
0.579 0.175 0.579
0.579 0.579 0.175
0.666 0.227 0.227
0.773 0.334 0.773
0.773 0.773 0.334
0.825 0.421 0.421
```

The following is a DFT calculation (PBE) of an optimized crystal structure of Hf4CdBiN2.

VASP energy   -8.539 eV per atom
SG   P-6m2 (187)

```
Hf4CdBiN2
1.0
3.324 0.000 0.000
-1.662 2.878 0.000
0.000 0.000 14.414
Hf Cd Bi N
4 1 1 2
Direct
0.000 0.000 0.167
0.000 0.000 0.833
0.667 0.333 0.332
0.667 0.333 0.668
0.000 0.000 0.500
0.667 0.333 0.000
0.333 0.667 0.253
0.333 0.667 0.747
```

The following is a DFT calculation (PBE) of an optimized crystal structure of BeNbTe.

VASP energy   -4.966 eV per atom
SG   F-43m (216)

```
BeNbTe
1.0
0.000 3.155 3.155
3.155 0.000 3.155
3.155 3.155 0.000
Be Nb Te
1 1 1
Direct
0.000 0.000 0.000
0.250 0.250 0.250
0.500 0.500 0.500
```

The following is a DFT calculation (PBE) of an optimized crystal structure of ZnCl2.

VASP energy   -2.705 eV per atom
SG   P-1 (2)

```
ZnCl2
1.0
6.175 0.000 0.000
-2.932 6.026 0.000
-1.672 -2.505 6.149
Zn Cl
2 4
Direct
0.132 0.131 0.367
0.868 0.869 0.633
0.000 0.000 0.000
0.182 0.867 0.510
0.500 0.500 0.500
0.818 0.133 0.490
```

The following is a DFT calculation (PBE) of an optimized crystal structure of UBiB.

VASP energy   -6.088 eV per atom
SG   F-43m (216)

```
UBiB
1.0
0.000 3.368 3.368
3.368 0.000 3.368
3.368 3.368 0.000
U Bi B
1 1 1
Direct
0.000 0.000 0.000
0.250 0.250 0.250
0.750 0.750 0.750
```

The following is a DFT calculation (PBE) of an optimized crystal structure of CsH2OsO4.

VASP energy   -5.831 eV per atom
SG   Fdd2 (43)

```
CsH2OsO4
1.0
0.000 5.644 3.980
5.630 0.000 3.980
5.630 5.644 0.000
Cs H Os O
2 4 2 8
Direct
0.000 0.000 0.000
0.250 0.250 0.250
0.067 0.687 0.447
0.451 0.803 0.563
0.687 0.067 0.799
0.803 0.451 0.183
0.471 0.471 0.529
0.721 0.721 0.779
0.247 0.439 0.503
0.439 0.247 0.811
0.439 0.747 0.811
0.538 0.791 0.417
0.747 0.439 0.003
0.791 0.538 0.254
0.833 0.996 0.712
0.996 0.833 0.459
```